! ZnWN2F GGA+U relaxed; values from VASP
! Total moment, μB per formula unit: 0.00
! Offset from the most stable computed form, eV/atom: 0.000
&SYSTEM
  ibrav = 0, nat = 5, ntyp = 4
/
ATOMIC_SPECIES
Zn 65.41 Zn.upf
N 14.01 N.upf
W 183.84 W.upf
F 19.00 F.upf
ATOMIC_POSITIONS crystal
Zn 0.500 0.500 0.500
N 0.000 0.500 0.000
N 0.500 0.000 0.000
W 0.000 0.000 0.000
F 0.000 0.000 0.500
CELL_PARAMETERS angstrom
3.999 0.000 0.000
0.000 3.999 0.000
0.000 0.000 4.080